Computed, not measured: a geometry-optimized AlAg3Sn structure at the GGA-PBE level of DFT.

Computed properties:
crystal system: monoclinic
energy: -3.241 eV/atom
DOS at the Fermi energy: 0.364 states/eV/atom
formation enthalpy at 0 K: 0.02 eV per atom
polymorph energy (0 for the lowest one): 0.000 eV per atom

Cell: 6.6803 4.0303 7.1806 Å, 90.00 96.97 90.00°
Closest atoms and distances in Å follow each position.
Atoms (fractional coordinates):
Al1 0.0582 0.2500 0.1469  6 Ag 2.75-2.86, 2 Al 2.95
Al2 0.9418 0.7500 0.8531  6 Ag 2.75-2.86, 2 Al 2.95
Ag1 0.1468 0.7500 0.4267  3 Sn 2.85-3.05, 2 Al 2.86, 6 Ag 2.92-3.08
Ag2 0.3211 0.7500 0.0503  3 Al 2.75-2.81, 3 Ag 2.97-3.07, 3 Sn 2.99-3.00
Ag3 0.4418 0.2500 0.3462  1 Al 2.78, 7 Ag 2.92-3.02, 2 Sn 2.93
Ag4 0.5582 0.7500 0.6538  1 Al 2.78, 7 Ag 2.92-3.02, 2 Sn 2.93
Ag5 0.6789 0.2500 0.9497  3 Al 2.75-2.81, 3 Ag 2.97-3.07, 3 Sn 2.99-3.00
Ag6 0.8532 0.2500 0.5733  3 Sn 2.85-3.05, 2 Al 2.86, 6 Ag 2.92-3.08
Sn1 0.2635 0.2500 0.7393  9 Ag 2.85-3.19, 2 Al 3.13
Sn2 0.7365 0.7500 0.2607  9 Ag 2.85-3.19, 2 Al 3.13